An optimized crystal structure of Li3MnF6. Source: the Alexandria database, functional PBE+U.

Unit cell a=5.5467 b=6.4056 c=6.5217 alpha=86.14 beta=84.02 gamma=85.81
Closest atoms and distances in Å follow each position.
Fractional coordinates of all 20 atoms:
1 Li 0.0492 0.1205 0.2793  4 F 1.94-2.04
2 Li 0.2440 0.4534 0.5565  5 F 1.98-2.19
3 Li 0.4477 0.8001 0.0217  4 F 1.91-1.93
4 Li 0.5523 0.1999 0.9783  4 F 1.91-1.93
5 Li 0.7560 0.5466 0.4435  5 F 1.98-2.19
6 Li 0.9508 0.8795 0.7207  4 F 1.94-2.04
7 Mn 0.0000 0.5000 0.0000  6 F 1.90-2.12
8 Mn 0.5000 0.0000 0.5000  4 F 1.89-1.90
9 F 0.0725 0.4252 0.3100  3 Li 1.98-2.00, 1 Mn 2.12
10 F 0.1138 0.7737 0.9771  1 Mn 1.90, 2 Li 1.93-2.04
11 F 0.1745 0.0804 0.5920  1 Mn 1.89, 1 Li 1.94
12 F 0.3103 0.3989 0.8824  1 Mn 1.90, 1 Li 1.91
13 F 0.3854 0.0332 0.1958  3 Li 1.92-1.94, 1 Mn 2.14
14 F 0.4341 0.7117 0.5171  1 Mn 1.90, 2 Li 2.01-2.04
15 F 0.5659 0.2883 0.4829  1 Mn 1.90, 2 Li 2.01-2.04
16 F 0.6146 0.9668 0.8042  3 Li 1.92-1.94, 1 Mn 2.14
17 F 0.6897 0.6011 0.1176  1 Mn 1.90, 1 Li 1.91
18 F 0.8255 0.9196 0.4080  1 Mn 1.89, 1 Li 1.94
19 F 0.8862 0.2263 0.0229  1 Mn 1.90, 2 Li 1.93-2.04
20 F 0.9275 0.5748 0.6900  3 Li 1.98-2.00, 1 Mn 2.12

Computed properties:
Its spin magnetization is 4.00 μB/f.u. As for the space group: P-1 (2). The calculation puts the polymorph energy (0 for the lowest one) at 0.000 eV per atom. As for the electronic total energy: -104.20 eV per cell.